This record from Alexandria describes crystalline SrTeBr2 at its relaxed geometry. The functional is GGA-PBE.

abc: 4.4089 4.4089 33.0243
angles: 90.00 90.00 120.00
Space group R-3m (No. 166, hexagonal axes)
Asymmetric unit:
Sr (0.0000, 0.0000, 0.0000) (multiplicity 3)
Te (0.0000, 0.0000, 0.5000) (multiplicity 3)
Br (0.0000, 0.0000, 0.2826) (multiplicity 6)

Computed properties:
The value obtained for the energy above the most stable polymorph in this dataset is 166.8 meV/atom. The formation energy without anion corrections comes out at -105.7 kJ/mol of atoms. For the density of states at the Fermi level, the calculation gives 4.362 states/eV/cell.